SiAsBr: optimized geometry, PBE-GGA.

As for the formation energy (no corrections): -0.30 eV per atom. As for the symmetry: P1, No. 1. The total magnetic moment comes out at 0.00 μB per formula unit. As for the crystal system: triclinic.

Cell lengths 4.9258, 4.9263, 8.2249 Å; angles 80.63, 80.83, 83.62 degrees
Closest atoms and distances in Å follow each position.
Positions (direct):
Si  0.0000  0.0000  0.0000  1 Br 2.26, 1 Si 2.37, 2 As 2.40-2.44
Si  0.3206  0.3215  0.8698  1 Br 2.26, 1 Si 2.37, 2 As 2.40-2.44
As  0.6474  0.3780  0.0466  2 Si 2.40-2.44, 1 As 2.52
As  0.9422  0.6743  0.8233  2 Si 2.40-2.44, 1 As 2.52
Br  0.0751  0.8157  0.2613  1 Si 2.26
Br  0.5036  0.2483  0.6086  1 Si 2.26



SiAsBr: optimized geometry, PBE-GGA.

As for the formation energy (no corrections): -0.04 eV per atom. As for the symmetry: P3m1, No. 156. The total magnetic moment comes out at 0.00 μB per formula unit. As for the crystal system: trigonal.

Cell lengths 3.6522, 3.6522, 6.8370 Å; angles 90.00, 90.00, 120.00 degrees
Closest atoms and distances in Å follow each position.
Positions (direct):
Si  0.0000  0.0000  0.0000  3 As 2.40
As  0.6667  0.3333  0.8333  3 Si 2.40
Br  0.3333  0.6667  0.2772  3 Si 2.83



- Number 2 is which compound?
  SiAsBr